Record 1
Compound: BaCeAlS4
Source: the Alexandria database
Functional: PBE
Structure: optimized geometry

```
BaCeAlS4
1.0
6.673 0.000 0.000
0.000 6.704 0.000
-2.605 0.000 8.157
Ba Ce Al S
2 2 2 8
Cartesian
0.445 1.676 3.538
3.623 5.028 4.619
-0.625 1.676 7.731
4.693 5.028 0.427
1.331 5.028 1.485
2.737 1.676 6.673
-1.931 5.028 7.511
-0.419 5.028 2.882
1.320 3.382 6.295
1.320 6.674 6.295
2.748 0.030 1.863
2.748 3.322 1.863
4.487 1.676 5.276
5.998 1.676 0.646
```

Computed properties:
Energy relative to the elements, uncorrected, eV per atom: -1.742
Total DFT energy (no corrections), hartree per atom: -0.21159
Space group: No. 11

***

Record 2
Compound: PmOsN2
Source: the Alexandria database
Functional: PBE
Structure: optimized geometry

```
PmOsN2
1.0
1.886 1.089 5.794
-1.886 1.089 5.794
0.000 -2.177 5.794
Pm Os N
1 1 2
Cartesian
0.000 0.000 0.000
0.000 0.000 8.691
0.000 0.000 6.880
0.000 0.000 10.502
```

Computed properties:
Energy relative to the elements, uncorrected, eV per atom: -0.130
Total DFT energy (no corrections), hartree per atom: -0.30457
Space group: No. 166